1.
Entry from Alexandria via LeMat-Bulk: a relaxed NaGaPdAu crystal (PBE).

Lattice parameters (Å, degrees): 4.5758 4.5758 4.5758 60.00 60.00 60.00
Atoms (fractional coordinates):
1 Na 0.0000 0.0000 0.0000
2 Ga 0.5000 0.5000 0.5000
3 Pd 0.7500 0.7500 0.7500
4 Au 0.2500 0.2500 0.2500

Properties
The calculation puts the electronic total energy at -13.882 eV for the cell shown. The value obtained for the energy of formation is -0.27 eV/atom. Its symmetry is No. 216.


2.
Entry from Alexandria via LeMat-Bulk: a relaxed Na2GaPd5Au2 crystal (PBE).

Lattice parameters (Å, degrees): 11.1729 11.1729 2.9685 90.00 90.00 90.00
Atoms (fractional coordinates):
1 Na 0.1693 0.3307 0.0000
2 Na 0.3307 0.8307 0.0000
3 Na 0.6693 0.1693 0.0000
4 Na 0.8307 0.6693 0.0000
5 Ga 0.0000 0.0000 0.0000
6 Ga 0.5000 0.5000 0.0000
7 Pd 0.0000 0.5000 0.5000
8 Pd 0.0341 0.8186 0.5000
9 Pd 0.1814 0.0341 0.5000
10 Pd 0.3186 0.5341 0.5000
11 Pd 0.4659 0.3186 0.5000
12 Pd 0.5000 0.0000 0.5000
13 Pd 0.5341 0.6814 0.5000
14 Pd 0.6814 0.4659 0.5000
15 Pd 0.8186 0.9659 0.5000
16 Pd 0.9659 0.1814 0.5000
17 Au 0.1445 0.6445 0.0000
18 Au 0.3555 0.1445 0.0000
19 Au 0.6445 0.8555 0.0000
20 Au 0.8555 0.3555 0.0000

Properties
The calculation puts the electronic total energy at -81.069 eV for the cell shown. The value obtained for the energy of formation is -0.24 eV/atom. Its symmetry is No. 127.


3.
Entry from Alexandria via LeMat-Bulk: a relaxed NaPmGa2Au2 crystal (PBE).

Lattice parameters (Å, degrees): 4.5958 4.5958 6.8962 90.00 90.00 120.00
Atoms (fractional coordinates):
1 Na 0.0000 0.0000 0.0000
2 Pm 0.0000 0.0000 0.5000
3 Ga 0.3333 0.6667 0.7742
4 Ga 0.6667 0.3333 0.2258
5 Au 0.3333 0.6667 0.2396
6 Au 0.6667 0.3333 0.7604

Properties
The calculation puts the electronic total energy at -21.897 eV for the cell shown. The value obtained for the energy of formation is -0.54 eV/atom. Its symmetry is No. 164.


4.
Entry from Alexandria via LeMat-Bulk: a relaxed NaPmGaAu crystal (PBE).

Lattice parameters (Å, degrees): 5.0709 5.0709 5.0709 60.00 60.00 60.00
Atoms (fractional coordinates):
1 Na 0.0000 0.0000 0.0000
2 Pm 0.5000 0.5000 0.5000
3 Ga 0.7500 0.7500 0.7500
4 Au 0.2500 0.2500 0.2500

Properties
The calculation puts the electronic total energy at -14.081 eV for the cell shown. The value obtained for the energy of formation is -0.43 eV/atom. Its symmetry is No. 216.


5.
Entry from Alexandria via LeMat-Bulk: a relaxed NaPrGaAu crystal (PBE).

Lattice parameters (Å, degrees): 5.1242 5.1242 5.1242 60.00 60.00 60.00
Atoms (fractional coordinates):
1 Na 0.0000 0.0000 0.0000
2 Pr 0.5000 0.5000 0.5000
3 Ga 0.2500 0.2500 0.2500
4 Au 0.7500 0.7500 0.7500

Properties
The calculation puts the electronic total energy at -14.093 eV for the cell shown. The value obtained for the energy of formation is -0.42 eV/atom. Its symmetry is No. 216.


6.
Entry from Alexandria via LeMat-Bulk: a relaxed NaPr2Ga3Au4 crystal (PBE).

Lattice parameters (Å, degrees): 4.4858 4.4858 10.9174 90.00 90.00 90.00
Atoms (fractional coordinates):
1 Na 0.0000 0.0000 0.0000
2 Pr 0.0000 0.5000 0.7273
3 Pr 0.5000 0.0000 0.2727
4 Ga 0.0000 0.5000 0.3731
5 Ga 0.5000 0.0000 0.6269
6 Ga 0.5000 0.5000 0.0000
7 Au 0.0000 0.0000 0.5000
8 Au 0.0000 0.5000 0.1427
9 Au 0.5000 0.0000 0.8573
10 Au 0.5000 0.5000 0.5000

Properties
The calculation puts the electronic total energy at -38.624 eV for the cell shown. The value obtained for the energy of formation is -0.56 eV/atom. Its symmetry is No. 115.


7.
Entry from Alexandria via LeMat-Bulk: a relaxed NaPrGa2Au5 crystal (PBE).

Lattice parameters (Å, degrees): 4.7223 4.7223 8.7495 90.00 90.00 90.00
Atoms (fractional coordinates):
1 Na 0.0000 0.0000 0.0000
2 Pr 0.0000 0.0000 0.5000
3 Ga 0.5000 0.5000 0.1459
4 Ga 0.5000 0.5000 0.8541
5 Au 0.0000 0.5000 0.2697
6 Au 0.0000 0.5000 0.7303
7 Au 0.5000 0.0000 0.2697
8 Au 0.5000 0.0000 0.7303
9 Au 0.5000 0.5000 0.5000

Properties
The calculation puts the electronic total energy at -32.304 eV for the cell shown. The value obtained for the energy of formation is -0.42 eV/atom. Its symmetry is No. 123.


8.
Entry from Alexandria via LeMat-Bulk: a relaxed Na2Ga3PtAu12 crystal (PBE).

Lattice parameters (Å, degrees): 7.0861 7.0861 7.0861 84.10 84.10 84.10
Atoms (fractional coordinates):
1 Na 0.1158 0.1158 0.1158
2 Na 0.8842 0.8842 0.8842
3 Ga 0.0000 0.5000 0.5000
4 Ga 0.5000 0.0000 0.5000
5 Ga 0.5000 0.5000 0.0000
6 Pt 0.5000 0.5000 0.5000
7 Au 0.1210 0.1210 0.5650
8 Au 0.1210 0.5650 0.1210
9 Au 0.1925 0.6944 0.6944
10 Au 0.3056 0.3056 0.8075
11 Au 0.3056 0.8075 0.3056
12 Au 0.4350 0.8790 0.8790
13 Au 0.5650 0.1210 0.1210
14 Au 0.6944 0.1925 0.6944
15 Au 0.6944 0.6944 0.1925
16 Au 0.8075 0.3056 0.3056
17 Au 0.8790 0.4350 0.8790
18 Au 0.8790 0.8790 0.4350

Properties
The calculation puts the electronic total energy at -57.550 eV for the cell shown. The value obtained for the energy of formation is -0.03 eV/atom. Its symmetry is No. 166.


9.
Entry from Alexandria via LeMat-Bulk: a relaxed NaPu2Ga3Au4 crystal (PBE).

Lattice parameters (Å, degrees): 4.3038 4.3038 11.6450 90.00 90.00 90.00
Atoms (fractional coordinates):
1 Na 0.0000 0.0000 0.0000
2 Pu 0.0000 0.5000 0.7309
3 Pu 0.5000 0.0000 0.2691
4 Ga 0.0000 0.5000 0.3705
5 Ga 0.5000 0.0000 0.6295
6 Ga 0.5000 0.5000 0.0000
7 Au 0.0000 0.0000 0.5000
8 Au 0.0000 0.5000 0.1520
9 Au 0.5000 0.0000 0.8480
10 Au 0.5000 0.5000 0.5000

Properties
The calculation puts the electronic total energy at -55.477 eV for the cell shown. The value obtained for the energy of formation is -0.33 eV/atom. Its symmetry is No. 115.


10.
Entry from Alexandria via LeMat-Bulk: a relaxed NaPuGaAu crystal (PBE).

Lattice parameters (Å, degrees): 5.0411 5.0411 5.0411 60.00 60.00 60.00
Atoms (fractional coordinates):
1 Na 0.0000 0.0000 0.0000
2 Pu 0.5000 0.5000 0.5000
3 Ga 0.7500 0.7500 0.7500
4 Au 0.2500 0.2500 0.2500

Properties
The calculation puts the electronic total energy at -22.640 eV for the cell shown. The value obtained for the energy of formation is -0.17 eV/atom. Its symmetry is No. 216.


11.
Entry from Alexandria via LeMat-Bulk: a relaxed RbNa2Ga2Au2 crystal (PBE).

Lattice parameters (Å, degrees): 4.5538 4.5538 10.8326 102.22 102.22 60.09
Atoms (fractional coordinates):
1 Rb 0.0000 0.0000 0.0000
2 Na 0.1396 0.1396 0.4177
3 Na 0.8604 0.8604 0.5823
4 Ga 0.4199 0.4199 0.2591
5 Ga 0.5801 0.5801 0.7409
6 Au 0.2432 0.2432 0.7304
7 Au 0.7568 0.7568 0.2696

Properties
The calculation puts the electronic total energy at -17.962 eV for the cell shown. The value obtained for the energy of formation is -0.25 eV/atom. Its symmetry is No. 12.


12.
Entry from Alexandria via LeMat-Bulk: a relaxed RbNaGa2Au crystal (PBE).

Lattice parameters (Å, degrees): 5.0918 5.0918 5.7237 90.00 90.00 90.00
Atoms (fractional coordinates):
1 Rb 0.0000 0.0000 0.0000
2 Na 0.5000 0.5000 0.0000
3 Ga 0.0000 0.5000 0.5000
4 Ga 0.5000 0.0000 0.5000
5 Au 0.5000 0.5000 0.5000

Properties
The calculation puts the electronic total energy at -12.001 eV for the cell shown. The value obtained for the energy of formation is -0.08 eV/atom. Its symmetry is No. 123.


Q: Which of these has the lowest electronic total energy?
A: Na2GaPd5Au2


Q: The lowest energy of formation belongs to which entry?
A: NaPr2Ga3Au4